(1)
Compound: CuIr2Cl
Source: the Alexandria database
Functional: GGA-PBE
Structure: optimized geometry

Cell lengths 2.8241, 2.8466, 7.6606 Å; angles 90.00, 90.08, 90.00 degrees
Last column: nearest neighbours and their distance in Å.
Positions (direct):
Cu 0.0000 0.0000 0.0000  2 Cl 2.49, 4 Ir 2.67
Ir 0.4989 0.5000 0.7694  8 Ir 2.66-2.85, 4 Cu 2.67
Ir 0.9980 0.0000 0.5413  2 Cl 2.54, 6 Ir 2.66-2.82
Cl 0.9964 0.5000 0.2674  2 Cu 2.49, 2 Ir 2.54

**E_form (uncorrected)**: 0.281 eV/atom
**D(E_F)**: 0.679 states/eV/atom

(2)
Compound: NaAsNF2
Source: the Alexandria database
Functional: GGA-PBE
Structure: optimized geometry

Cell lengths 4.3853, 4.3853, 3.6554 Å; angles 90.00, 90.00, 90.00 degrees
Last column: nearest neighbours and their distance in Å.
Positions (direct):
Na 0.0000 0.0000 0.0000  8 F 2.85, 4 N 3.10
As 0.5000 0.5000 0.5000  2 N 1.83
N 0.5000 0.5000 0.0000  2 As 1.83
F 0.0000 0.5000 0.5000  2 As 2.19
F 0.5000 0.0000 0.5000  2 As 2.19

**E_form (uncorrected)**: -1.001 eV/atom
**D(E_F)**: 0.085 states/eV/atom

(3)
Compound: Ac5Lu3H12
Source: the Alexandria database
Functional: GGA-PBE
Structure: optimized geometry

Cell lengths 12.1532, 12.1532, 12.1532 Å; angles 109.47, 109.47, 109.47 degrees
Last column: nearest neighbours and their distance in Å.
Positions (direct):
Ac 0.0000 0.0000 0.0000  6 H 2.47
Ac 0.0000 0.0000 0.5000  6 H 2.47
Ac 0.0000 0.5000 0.0000  6 H 2.47
Ac 0.0000 0.5000 0.5000  6 H 2.47
Ac 0.1250 0.7500 0.8750  4 H 2.45
Ac 0.1250 0.8750 0.2500  4 H 2.45
Ac 0.2500 0.1250 0.8750  4 H 2.45
Ac 0.2500 0.6250 0.3750  4 H 2.45
Ac 0.3750 0.2500 0.6250  4 H 2.45
Ac 0.3750 0.6250 0.7500  4 H 2.45
Ac 0.5000 0.0000 0.0000  6 H 2.47
Ac 0.5000 0.0000 0.5000  6 H 2.47
Ac 0.5000 0.5000 0.0000  6 H 2.47
Ac 0.5000 0.5000 0.5000  6 H 2.47
Ac 0.6250 0.3750 0.2500  4 H 2.45
Ac 0.6250 0.7500 0.3750  4 H 2.45
Ac 0.7500 0.3750 0.6250  4 H 2.45
Ac 0.7500 0.8750 0.1250  4 H 2.45
Ac 0.8750 0.1250 0.7500  4 H 2.45
Ac 0.8750 0.2500 0.1250  4 H 2.45
Lu 0.1250 0.2500 0.3750  4 H 2.18
Lu 0.1250 0.3750 0.7500  4 H 2.18
Lu 0.2500 0.3750 0.1250  4 H 2.18
Lu 0.2500 0.8750 0.6250  4 H 2.18
Lu 0.3750 0.1250 0.2500  4 H 2.18
Lu 0.3750 0.7500 0.1250  4 H 2.18
Lu 0.6250 0.2500 0.8750  4 H 2.18
Lu 0.6250 0.8750 0.7500  4 H 2.18
Lu 0.7500 0.1250 0.3750  4 H 2.18
Lu 0.7500 0.6250 0.8750  4 H 2.18
Lu 0.8750 0.6250 0.2500  4 H 2.18
Lu 0.8750 0.7500 0.6250  4 H 2.18
H 0.0516 0.7280 0.6508  1 Lu 2.18, 1 H 2.24
H 0.0516 0.8236 0.4008  1 Lu 2.18, 1 H 2.24
H 0.0772 0.2280 0.1764  1 Lu 2.18, 1 H 2.24
H 0.0772 0.3492 0.9008  1 Lu 2.18, 1 H 2.24
H 0.0992 0.6764 0.4484  1 Lu 2.18, 1 H 2.24
H 0.0992 0.9228 0.6508  1 Lu 2.18, 1 H 2.24
H 0.1508 0.2280 0.5516  1 Lu 2.18, 1 H 2.24
H 0.1508 0.4228 0.5992  1 Lu 2.18, 1 H 2.24
H 0.1764 0.0772 0.2280  1 Lu 2.18, 1 H 2.24
H 0.1764 0.5992 0.9484  1 Lu 2.18, 1 H 2.24
H 0.2280 0.1764 0.0772  1 Lu 2.18, 1 H 2.24
H 0.2280 0.5516 0.1508  1 Lu 2.18, 1 H 2.24
H 0.2720 0.3492 0.9484  1 Lu 2.18, 1 H 2.24
H 0.2720 0.4228 0.3236  1 Lu 2.18, 1 H 2.24
H 0.3236 0.2720 0.4228  1 Lu 2.18, 1 H 2.24
H 0.3236 0.5516 0.9008  1 Lu 2.18, 1 H 2.24
H 0.3492 0.9008 0.0772  1 Lu 2.18, 1 H 2.24
H 0.3492 0.9484 0.2720  1 Lu 2.18, 1 H 2.24
H 0.4008 0.0516 0.8236  1 Lu 2.18, 1 H 2.24
H 0.4008 0.8492 0.5772  1 Lu 2.18, 1 H 2.24
H 0.4228 0.3236 0.2720  1 Lu 2.18, 1 H 2.24
H 0.4228 0.5992 0.1508  1 Lu 2.18, 1 H 2.24
H 0.4484 0.0992 0.6764  1 Lu 2.18, 1 H 2.24
H 0.4484 0.8492 0.7720  1 Lu 2.18, 1 H 2.24
H 0.5516 0.1508 0.2280  1 Lu 2.18, 1 H 2.24
H 0.5516 0.9008 0.3236  1 Lu 2.18, 1 H 2.24
H 0.5772 0.4008 0.8492  1 Lu 2.18, 1 H 2.24
H 0.5772 0.6764 0.7280  1 Lu 2.18, 1 H 2.24
H 0.5992 0.1508 0.4228  1 Lu 2.18, 1 H 2.24
H 0.5992 0.9484 0.1764  1 Lu 2.18, 1 H 2.24
H 0.6508 0.0516 0.7280  1 Lu 2.18, 1 H 2.24
H 0.6508 0.0992 0.9228  1 Lu 2.18, 1 H 2.24
H 0.6764 0.4484 0.0992  1 Lu 2.18, 1 H 2.24
H 0.6764 0.7280 0.5772  1 Lu 2.18, 1 H 2.24
H 0.7280 0.5772 0.6764  1 Lu 2.18, 1 H 2.24
H 0.7280 0.6508 0.0516  1 Lu 2.18, 1 H 2.24
H 0.7720 0.4484 0.8492  1 Lu 2.18, 1 H 2.24
H 0.7720 0.8236 0.9228  1 Lu 2.18, 1 H 2.24
H 0.8236 0.4008 0.0516  1 Lu 2.18, 1 H 2.24
H 0.8236 0.9228 0.7720  1 Lu 2.18, 1 H 2.24
H 0.8492 0.5772 0.4008  1 Lu 2.18, 1 H 2.24
H 0.8492 0.7720 0.4484  1 Lu 2.18, 1 H 2.24
H 0.9008 0.0772 0.3492  1 Lu 2.18, 1 H 2.24
H 0.9008 0.3236 0.5516  1 Lu 2.18, 1 H 2.24
H 0.9228 0.6508 0.0992  1 Lu 2.18, 1 H 2.24
H 0.9228 0.7720 0.8236  1 Lu 2.18, 1 H 2.24
H 0.9484 0.1764 0.5992  1 Lu 2.18, 1 H 2.24
H 0.9484 0.2720 0.3492  1 Lu 2.18, 1 H 2.24

**Electronic total energy**: -323.00 eV/cell
**D(E_F)**: 0.471 states/eV/atom

(4)
Compound: ZrCd2Tc
Source: the Alexandria database
Functional: GGA-PBE
Structure: optimized geometry

Cell lengths 3.0114, 3.0114, 9.3886 Å; angles 90.00, 90.00, 109.80 degrees
Last column: nearest neighbours and their distance in Å.
Positions (direct):
Zr 0.0000 0.0000 0.0000  2 Tc 2.64
Cd 0.0000 0.0000 0.4535  2 Tc 2.86, 6 Cd 3.01-3.08
Cd 0.5000 0.5000 0.7244  6 Cd 3.01-3.08, 2 Zr 3.11
Tc 0.5000 0.5000 0.2116  2 Zr 2.64, 2 Cd 2.86

**DFT formation energy**: 0.09 eV/atom
**D(E_F)**: 0.883 states/eV/atom

Q: Number 1 is which compound?
A: CuIr2Cl